A | The following is a DFT calculation (GGA-PBE) of an optimized crystal structure of Na2AgI.

The structure in POSCAR format:
```
Na2AgI
1.0
-3.9616 -2.5727 -2.8501
-4.4701 2.7860 -1.6410
-0.7321 1.1373 -5.3485
Na I Ag
2 1 1
Direct
0.7500 0.7500 0.7500 Na
0.2500 0.2500 0.2500 Na
0.5000 0.5000 0.5000 I
0.0000 0.0000 0.0000 Ag
```

Calculated values
Its space group is Fm-3m, No. 225.

---

B | The following is a DFT calculation (GGA-PBE) of an optimized crystal structure of Na2AgI.

The structure in POSCAR format:
```
Na2AgI
1.0
-3.5186 -2.7507 -6.6652
-6.5993 -1.7597 4.2100
-6.7203 1.9358 -2.0801
I Na Ag
2 4 2
Direct
0.7500 0.2500 0.5000 I
0.0000 0.0000 0.0000 I
0.1306 0.6250 0.2500 Na
0.3750 0.3806 0.7500 Na
0.8750 0.8694 0.7500 Na
0.6194 0.1250 0.2500 Na
0.5000 0.5000 0.0000 Ag
0.2500 0.7500 0.5000 Ag
```

Calculated values
Its space group is I-42d, No. 122.

---

Which of them is most stable, and which least? Most stable: B; least stable: A.

---

A | The following is a DFT calculation (GGA-PBE) of an optimized crystal structure of Na2AgI4.

The structure in POSCAR format:
```
Na2AgI4
1.0
-3.3710 -1.6626 -2.8008
-4.3159 -2.0519 6.4125
0.9579 7.9223 -1.9332
I Na Ag
4 2 1
Direct
0.1022 0.8039 0.2044 I
0.6410 0.2810 0.2819 I
0.3590 0.7190 0.7181 I
0.8978 0.1961 0.7956 I
0.2814 0.2566 0.5628 Na
0.7186 0.7434 0.4372 Na
0.0000 0.0000 0.0000 Ag
```

Calculated values
Its space group is C2/m, No. 12.

---

B | The following is a DFT calculation (GGA-PBE) of an optimized crystal structure of Na2AgI4.

The structure in POSCAR format:
```
Na2AgI4
1.0
5.7941 0.0000 0.0000
0.0000 5.7941 0.0000
-2.8970 -2.8970 8.0845
I Ag Na
4 1 2
Direct
0.1806 0.1806 0.3612 I
0.5000 0.0000 0.0000 I
0.0000 0.5000 0.0000 I
0.8194 0.8194 0.6388 I
0.0000 0.0000 0.0000 Ag
0.3719 0.3719 0.7438 Na
0.6281 0.6281 0.2562 Na
```

Calculated values
Its space group is I4/mmm, No. 139.

---

Which of them is most stable, and which least? Most stable: A; least stable: B.

---

A | The following is a DFT calculation (GGA-PBE) of an optimized crystal structure of Na3AgI.

The structure in POSCAR format:
```
Na3AgI
1.0
5.7026 0.0000 0.0000
0.0000 5.7026 0.0000
0.0000 0.0000 5.7026
I Ag Na
1 1 3
Direct
0.5000 0.5000 0.5000 I
0.0000 0.0000 0.0000 Ag
0.5000 0.0000 0.0000 Na
0.0000 0.5000 0.0000 Na
0.0000 0.0000 0.5000 Na
```

Calculated values
Its space group is Pm-3m, No. 221.

---

B | The following is a DFT calculation (GGA-PBE) of an optimized crystal structure of Na3AgI.

The structure in POSCAR format:
```
Na3AgI
1.0
-3.7909 -1.7562 4.2448
4.5909 -1.2529 3.5816
-0.1632 5.5515 2.1511
Ag I Na
1 1 3
Direct
0.5000 0.5000 0.5000 Ag
0.0000 0.0000 0.0000 I
0.5000 0.0000 0.0000 Na
0.0000 0.5000 0.0000 Na
0.0000 0.0000 0.5000 Na
```

Calculated values
Its space group is Pm-3m, No. 221.

---

Which of them is most stable, and which least? Most stable: A; least stable: B.